(1)
VASP calculation (PBE) on a relaxed HfV2GaCu crystal.

The structure in CIF format:
```
data_HfV2GaCu
_chemical_formula_sum 'Hf1 V2 Ga1 Cu1'
_space_group_name_H-M_alt 'P 4/m m m'
_space_group_IT_number 123
_space_group_name_Hall '-P 4 2'
_cell_length_a 4.6509
_cell_length_b 4.6509
_cell_length_c 5.1133
_cell_angle_alpha 90.00
_cell_angle_beta 90.00
_cell_angle_gamma 90.00
loop_
_atom_site_label
_atom_site_type_symbol
_atom_site_fract_x
_atom_site_fract_y
_atom_site_fract_z
_atom_site_occupancy
Hf1 Hf 0.0000 0.0000 0.0000 1
V1 V 0.0000 0.5000 0.0000 1
Ga1 Ga 0.0000 0.0000 0.5000 1
Cu1 Cu 0.5000 0.5000 0.5000 1
```

Computed properties:
**Energy of formation from the pure elements**: 1.5812 eV/atom
**Volume**: 22.1 Å³/atom

***

(2)
VASP calculation (PBE) on a relaxed HfMgSN2 crystal.

The structure in CIF format:
```
data_HfMgSN2
_chemical_formula_sum 'Hf1 Mg1 S1 N2'
_space_group_name_H-M_alt 'P 4/m m m'
_space_group_IT_number 123
_space_group_name_Hall '-P 4 2'
_cell_length_a 3.8401
_cell_length_b 3.8401
_cell_length_c 4.7279
_cell_angle_alpha 90.00
_cell_angle_beta 90.00
_cell_angle_gamma 90.00
loop_
_atom_site_label
_atom_site_type_symbol
_atom_site_fract_x
_atom_site_fract_y
_atom_site_fract_z
_atom_site_occupancy
Hf1 Hf 0.0000 0.0000 0.0000 1
Mg1 Mg 0.5000 0.5000 0.5000 1
S1 S 0.5000 0.5000 0.0000 1
N1 N 0.0000 0.5000 0.5000 1
```

Computed properties:
**Volume**: 13.9 Å³/atom
**Polymorph energy (0 for the lowest one)**: 0.7490 eV per atom